## i
Density functional theory data (PBE) for crystalline Ti2TcRh at its relaxed geometry. Values from VASP.

Cell and atoms, written as Quantum ESPRESSO input:
```
&SYSTEM
  ibrav = 0, nat = 4, ntyp = 3
/
ATOMIC_SPECIES
Rh 102.91 Rh.upf
Ti 47.87 Ti.upf
Tc 98.00 Tc.upf
CELL_PARAMETERS angstrom
3.142 0.000 0.000
0.000 4.356 0.000
0.000 0.000 4.356
ATOMIC_POSITIONS crystal
Rh 0.500 0.000 0.000
Ti 0.000 0.500 0.000
Tc 0.500 0.500 0.500
Ti 0.000 0.000 0.500
```

Output
Its density of states at the Fermi level is 0.57 states/eV per atom. The value obtained for the volume is 60 Å³ per cell.

***

## ii
Density functional theory data (PBE) for crystalline Ti2TcRh at its relaxed geometry. Values from VASP.

Cell and atoms, written as Quantum ESPRESSO input:
```
&SYSTEM
  ibrav = 0, nat = 4, ntyp = 3
/
ATOMIC_SPECIES
Tc 98.00 Tc.upf
Ti 47.87 Ti.upf
Rh 102.91 Rh.upf
CELL_PARAMETERS angstrom
-1.410 2.682 -0.703
0.284 -0.645 -3.029
-5.476 -2.854 0.094
ATOMIC_POSITIONS crystal
Tc 0.500 0.500 0.000
Ti 0.000 0.000 0.242
Rh 0.500 0.500 0.500
Ti 0.000 0.000 0.758
```

Output
Its density of states at the Fermi level is 0.42 states/eV per atom. The value obtained for the volume is 60 Å³ per cell.

***

Need the numbers? Relative energies in kJ/mol of atoms: i 1.6; ii 0.0.

***

## i
Density functional theory data (PBE) for crystalline ZrTiTcRh at its relaxed geometry. Values from VASP.

Cell and atoms, written as Quantum ESPRESSO input:
```
&SYSTEM
  ibrav = 0, nat = 4, ntyp = 4
/
ATOMIC_SPECIES
Zr 91.22 Zr.upf
Tc 98.00 Tc.upf
Rh 102.91 Rh.upf
Ti 47.87 Ti.upf
CELL_PARAMETERS angstrom
-0.948 -2.652 1.543
2.519 -1.594 -1.192
3.476 1.705 5.064
ATOMIC_POSITIONS crystal
Zr 0.500 0.500 0.111
Tc 0.000 0.000 0.373
Rh 0.000 0.000 0.845
Ti 0.500 0.500 0.599
```

Output
Its density of states at the Fermi level is 0.33 states/eV per atom. The value obtained for the volume is 66 Å³ per cell.

***

## ii
Density functional theory data (PBE) for crystalline ZrTiTcRh at its relaxed geometry. Values from VASP.

Cell and atoms, written as Quantum ESPRESSO input:
```
&SYSTEM
  ibrav = 0, nat = 4, ntyp = 4
/
ATOMIC_SPECIES
Ti 47.87 Ti.upf
Zr 91.22 Zr.upf
Rh 102.91 Rh.upf
Tc 98.00 Tc.upf
CELL_PARAMETERS angstrom
-2.772 -2.757 -2.282
-1.102 -4.037 1.726
-4.201 -0.744 1.512
ATOMIC_POSITIONS crystal
Ti 0.250 0.250 0.250
Zr 0.750 0.750 0.750
Rh 0.500 0.500 0.500
Tc 0.000 0.000 0.000
```

Output
Its density of states at the Fermi level is 0.58 states/eV per atom. The value obtained for the volume is 66 Å³ per cell.

***

Need the numbers? Relative energies in kJ/mol of atoms: i 0.0; ii 3.1.

***

## i
Density functional theory data (PBE) for crystalline TlTcRh at its relaxed geometry. Values from VASP.

Cell and atoms, written as Quantum ESPRESSO input:
```
&SYSTEM
  ibrav = 0, nat = 3, ntyp = 3
/
ATOMIC_SPECIES
Tc 98.00 Tc.upf
Tl 204.38 Tl.upf
Rh 102.91 Rh.upf
CELL_PARAMETERS angstrom
4.362 0.000 0.000
2.181 3.778 0.000
2.181 1.259 3.562
ATOMIC_POSITIONS crystal
Tc 0.000 0.000 0.000
Tl 0.500 0.500 0.500
Rh 0.750 0.750 0.750
```

Output
Its density of states at the Fermi level is 0.71 states/eV per atom. The value obtained for the volume is 59 Å³ per cell.

***

## ii
Density functional theory data (PBE) for crystalline TlTcRh at its relaxed geometry. Values from VASP.

Cell and atoms, written as Quantum ESPRESSO input:
```
&SYSTEM
  ibrav = 0, nat = 3, ntyp = 3
/
ATOMIC_SPECIES
Rh 102.91 Rh.upf
Tc 98.00 Tc.upf
Tl 204.38 Tl.upf
CELL_PARAMETERS angstrom
-0.398 0.220 2.915
1.851 -2.024 -1.087
5.165 4.529 0.362
ATOMIC_POSITIONS crystal
Rh 0.000 0.000 0.022
Tc 0.333 0.667 0.309
Tl 0.667 0.333 0.669
```

Output
Its density of states at the Fermi level is 1.26 states/eV per atom. The value obtained for the volume is 52 Å³ per cell.

***

Need the numbers? Relative energies in kJ/mol of atoms: i 15.4; ii 0.0.

***

## i
Density functional theory data (PBE) for crystalline Tm8Tc2Rh at its relaxed geometry. Values from VASP.

Cell and atoms, written as Quantum ESPRESSO input:
```
&SYSTEM
  ibrav = 0, nat = 11, ntyp = 3
/
ATOMIC_SPECIES
Tm 168.93 Tm.upf
Rh 102.91 Rh.upf
Tc 98.00 Tc.upf
CELL_PARAMETERS angstrom
-3.796 -2.606 -0.946
-1.036 -0.934 6.733
-2.427 8.464 -1.902
ATOMIC_POSITIONS crystal
Tm 0.598 0.459 0.196
Tm 0.332 0.038 0.663
Tm 0.402 0.541 0.804
Tm 0.029 0.791 0.058
Tm 0.971 0.209 0.942
Rh 0.500 0.000 0.000
Tm 0.205 0.313 0.411
Tm 0.668 0.962 0.337
Tc 0.819 0.302 0.638
Tc 0.181 0.698 0.362
Tm 0.795 0.687 0.589
```

Output
Its density of states at the Fermi level is 0.81 states/eV per atom. The value obtained for the volume is 268 Å³ per cell.

***

## ii
Density functional theory data (PBE) for crystalline Tm8Tc2Rh at its relaxed geometry. Values from VASP.

Cell and atoms, written as Quantum ESPRESSO input:
```
&SYSTEM
  ibrav = 0, nat = 11, ntyp = 3
/
ATOMIC_SPECIES
Tm 168.93 Tm.upf
Tc 98.00 Tc.upf
Rh 102.91 Rh.upf
CELL_PARAMETERS angstrom
-2.363 -1.465 4.912
0.590 -6.725 -3.384
6.618 2.774 2.351
ATOMIC_POSITIONS crystal
Tm 0.999 0.790 0.214
Tm 0.806 0.641 0.641
Tm 0.398 0.926 0.666
Tc 0.500 0.695 0.313
Tm 0.999 0.214 0.790
Tm 0.193 0.366 0.366
Tm 0.599 0.080 0.340
Tm 0.599 0.340 0.080
Rh 0.009 0.003 0.003
Tc 0.500 0.313 0.695
Tm 0.398 0.666 0.926
```

Output
Its density of states at the Fermi level is 0.64 states/eV per atom. The value obtained for the volume is 277 Å³ per cell.

***

Need the numbers? Relative energies in kJ/mol of atoms: i 0.0; ii 5.1.

***

## i
Density functional theory data (PBE) for crystalline UTcRh2 at its relaxed geometry. Values from VASP.

Cell and atoms, written as Quantum ESPRESSO input:
```
&SYSTEM
  ibrav = 0, nat = 4, ntyp = 3
/
ATOMIC_SPECIES
Tc 98.00 Tc.upf
U 238.03 U.upf
Rh 102.91 Rh.upf
CELL_PARAMETERS angstrom
-2.751 -0.232 3.058
0.672 -3.902 0.308
2.879 0.704 2.643
ATOMIC_POSITIONS crystal
Tc 0.500 0.500 0.500
U 0.500 0.000 0.000
Rh 0.000 0.500 0.000
Rh 0.000 0.000 0.500
```

Output
Its density of states at the Fermi level is 0.89 states/eV per atom. The value obtained for the volume is 65 Å³ per cell.

***

## ii
Density functional theory data (PBE) for crystalline UTcRh2 at its relaxed geometry. Values from VASP.

Cell and atoms, written as Quantum ESPRESSO input:
```
&SYSTEM
  ibrav = 0, nat = 4, ntyp = 3
/
ATOMIC_SPECIES
Rh 102.91 Rh.upf
Tc 98.00 Tc.upf
U 238.03 U.upf
CELL_PARAMETERS angstrom
-0.236 -1.735 -4.154
3.730 -1.524 -2.022
0.543 -4.602 -0.555
ATOMIC_POSITIONS crystal
Rh 0.232 0.232 0.304
Tc 0.000 0.000 0.000
Rh 0.768 0.768 0.696
U 0.500 0.500 0.500
```

Output
Its density of states at the Fermi level is 1.73 states/eV per atom. The value obtained for the volume is 68 Å³ per cell.

***

Need the numbers? Relative energies in kJ/mol of atoms: i 0.0; ii 40.6.

***

## i
Density functional theory data (PBE) for crystalline VTcRh3 at its relaxed geometry. Values from VASP.

Cell and atoms, written as Quantum ESPRESSO input:
```
&SYSTEM
  ibrav = 0, nat = 10, ntyp = 3
/
ATOMIC_SPECIES
Rh 102.91 Rh.upf
V 50.94 V.upf
Tc 98.00 Tc.upf
CELL_PARAMETERS angstrom
-4.578 3.703 -1.184
-2.612 1.804 3.441
7.812 1.048 3.330
ATOMIC_POSITIONS crystal
Rh 0.754 0.338 0.803
Rh 0.953 0.348 0.200
V 0.880 0.840 0.024
Tc 0.668 0.835 0.607
Tc 0.358 0.353 0.007
Rh 0.454 0.846 0.201
Rh 0.572 0.343 0.414
V 0.145 0.349 0.591
Rh 0.271 0.851 0.811
Rh 0.073 0.841 0.414
```

Output
Its density of states at the Fermi level is 1.10 states/eV per atom. The value obtained for the volume is 141 Å³ per cell.

***

## ii
Density functional theory data (PBE) for crystalline VTcRh3 at its relaxed geometry. Values from VASP.

Cell and atoms, written as Quantum ESPRESSO input:
```
&SYSTEM
  ibrav = 0, nat = 10, ntyp = 3
/
ATOMIC_SPECIES
Tc 98.00 Tc.upf
Rh 102.91 Rh.upf
V 50.94 V.upf
CELL_PARAMETERS angstrom
4.421 0.000 0.000
0.000 7.363 0.000
-2.211 -3.681 4.572
ATOMIC_POSITIONS crystal
Tc 0.750 0.925 0.500
Tc 0.250 0.075 0.500
Rh 0.583 0.436 0.167
Rh 0.750 0.307 0.500
Rh 0.250 0.693 0.500
V 0.000 0.500 0.000
Rh 0.083 0.230 0.167
Rh 0.917 0.770 0.833
Rh 0.417 0.564 0.833
V 0.500 0.000 0.000
```

Output
Its density of states at the Fermi level is 1.04 states/eV per atom. The value obtained for the volume is 149 Å³ per cell.

***

## iii
Density functional theory data (PBE) for crystalline VTcRh3 at its relaxed geometry. Values from VASP.

Cell and atoms, written as Quantum ESPRESSO input:
```
&SYSTEM
  ibrav = 0, nat = 5, ntyp = 3
/
ATOMIC_SPECIES
Rh 102.91 Rh.upf
V 50.94 V.upf
Tc 98.00 Tc.upf
CELL_PARAMETERS angstrom
-3.338 1.366 -2.619
0.472 -3.655 -2.507
-2.916 -2.155 2.593
ATOMIC_POSITIONS crystal
Rh 0.000 0.000 0.500
Rh 0.000 0.500 0.000
V 0.000 0.000 0.000
Tc 0.500 0.500 0.500
Rh 0.500 0.000 0.000
```

Output
Its density of states at the Fermi level is 0.62 states/eV per atom. The value obtained for the volume is 89 Å³ per cell.

***

Need the numbers? Relative energies in kJ/mol of atoms: i 0.0; ii 26.5; iii 114.0.